Computed, not measured: Ca2CeYS4 after structural relaxation at the PBE level of DFT.

Cell: 6.8996 3.9806 7.0126 Å, 90.00 109.10 90.00°
With the nearest neighbours (Å) after each atom.
Atoms (fractional coordinates):
Ca (0.0000, 0.0000, 0.0000)  6 S 2.85-2.86
Ca (0.5000, 0.5000, 0.0000)  6 S 2.81
Ce (0.0000, 0.5000, 0.5000)  6 S 2.86
Y (0.5000, 0.0000, 0.5000)  6 S 2.81
S (0.2559, 0.5000, 0.2520)  2 Y 2.81, 3 Ca 2.81-2.86, 1 Ce 2.86
S (0.2566, 0.0000, 0.7529)  3 Ca 2.81-2.85, 1 Y 2.81, 2 Ce 2.86
S (0.7434, 0.0000, 0.2471)  3 Ca 2.81-2.85, 1 Y 2.81, 2 Ce 2.86
S (0.7441, 0.5000, 0.7480)  2 Y 2.81, 3 Ca 2.81-2.86, 1 Ce 2.86

Symmetry   P2/m, No. 10
Crystal system   monoclinic


Computed, not measured: CaCe2YS4 after structural relaxation at the PBE level of DFT.

Cell: 6.9088 3.9767 6.9933 Å, 90.00 109.09 90.00°
With the nearest neighbours (Å) after each atom.
Atoms (fractional coordinates):
Ca (0.0000, 0.0000, 0.0000)  6 S 2.80
Ce (0.0000, 0.5000, 0.5000)  6 S 2.88
Ce (0.5000, 0.0000, 0.5000)  6 S 2.86
Y (0.5000, 0.5000, 0.0000)  6 S 2.79
S (0.2490, 0.5000, 0.2410)  1 Y 2.79, 2 Ca 2.80, 3 Ce 2.86-2.88
S (0.2549, 0.0000, 0.7604)  2 Y 2.79, 1 Ca 2.80, 3 Ce 2.86-2.88
S (0.7451, 0.0000, 0.2396)  2 Y 2.79, 1 Ca 2.80, 3 Ce 2.86-2.88
S (0.7510, 0.5000, 0.7590)  1 Y 2.79, 2 Ca 2.80, 3 Ce 2.86-2.88

Symmetry   P2/m, No. 10
Crystal system   monoclinic


Computed, not measured: CaCeSb2 after structural relaxation at the PBE level of DFT.

Cell: 7.8210 7.8210 7.8210 Å, 132.16 132.16 69.98°
With the nearest neighbours (Å) after each atom.
Atoms (fractional coordinates):
Ca (0.3750, 0.6250, 0.7500)  6 Sb 3.17-3.30
Ca (0.6250, 0.3750, 0.2500)  6 Sb 3.17-3.30
Ce (0.1250, 0.8750, 0.2500)  6 Sb 3.11-3.17
Ce (0.8750, 0.1250, 0.7500)  6 Sb 3.11-3.17
Sb (0.1175, 0.3675, 0.7500)  3 Ce 3.11-3.17, 3 Ca 3.17-3.30
Sb (0.3675, 0.1175, 0.2500)  3 Ce 3.11-3.17, 3 Ca 3.17-3.30
Sb (0.6325, 0.8825, 0.7500)  3 Ce 3.11-3.17, 3 Ca 3.17-3.30
Sb (0.8825, 0.6325, 0.2500)  3 Ce 3.11-3.17, 3 Ca 3.17-3.30

Symmetry   I4_1/amd, No. 141
Energy relative to the lowest polymorph listed for this composition   0.0071 eV per atom
Crystal system   tetragonal


Computed, not measured: CaCeSb2 after structural relaxation at the PBE level of DFT.

Cell: 4.6156 7.2110 7.8935 Å, 90.00 90.00 90.00°
With the nearest neighbours (Å) after each atom.
Atoms (fractional coordinates):
Ca (0.2500, 0.2500, 0.0844)  6 Sb 3.23-3.24
Ca (0.7500, 0.7500, 0.9156)  6 Sb 3.23-3.24
Ce (0.2500, 0.7500, 0.4132)  6 Sb 3.17-3.18
Ce (0.7500, 0.2500, 0.5868)  6 Sb 3.17-3.18
Sb (0.2500, 0.9995, 0.7435)  3 Ce 3.17-3.18, 3 Ca 3.23-3.24
Sb (0.2500, 0.5005, 0.7435)  3 Ce 3.17-3.18, 3 Ca 3.23-3.24
Sb (0.7500, 0.0005, 0.2565)  3 Ce 3.17-3.18, 3 Ca 3.23-3.24
Sb (0.7500, 0.4995, 0.2565)  3 Ce 3.17-3.18, 3 Ca 3.23-3.24

Symmetry   Pmmn, No. 59
Energy relative to the lowest polymorph listed for this composition   0.0728 eV per atom
Crystal system   orthorhombic


Computed, not measured: CaCe3Sb3 after structural relaxation at the PBE level of DFT.

Cell: 8.3001 8.3001 8.3001 Å, 68.38 68.38 68.38°
With the nearest neighbours (Å) after each atom.
Atoms (fractional coordinates):
Ca (0.1681, 0.1681, 0.1681)  6 Sb 3.23-3.32
Ca (0.8319, 0.8319, 0.8319)  6 Sb 3.23-3.32
Ce (0.1518, 0.6802, 0.4070)  5 Sb 3.15-3.35
Ce (0.3198, 0.5930, 0.8482)  5 Sb 3.15-3.35
Ce (0.4070, 0.1518, 0.6802)  5 Sb 3.15-3.35
Ce (0.5930, 0.8482, 0.3198)  5 Sb 3.15-3.35
Ce (0.6802, 0.4070, 0.1518)  5 Sb 3.15-3.35
Ce (0.8482, 0.3198, 0.5930)  5 Sb 3.15-3.35
Sb (0.0353, 0.4256, 0.7999)  5 Ce 3.15-3.35, 2 Ca 3.23-3.32
Sb (0.2001, 0.9647, 0.5744)  5 Ce 3.15-3.35, 2 Ca 3.23-3.32
Sb (0.4256, 0.7999, 0.0353)  5 Ce 3.15-3.35, 2 Ca 3.23-3.32
Sb (0.5744, 0.2001, 0.9647)  5 Ce 3.15-3.35, 2 Ca 3.23-3.32
Sb (0.7999, 0.0353, 0.4256)  5 Ce 3.15-3.35, 2 Ca 3.23-3.32
Sb (0.9647, 0.5744, 0.2001)  5 Ce 3.15-3.35, 2 Ca 3.23-3.32

Symmetry   R-3, No. 148
Crystal system   trigonal


Computed, not measured: Ca2CeSb3 after structural relaxation at the PBE level of DFT.

Cell: 7.6753 7.6753 7.6753 Å, 144.83 131.08 61.67°
With the nearest neighbours (Å) after each atom.
Atoms (fractional coordinates):
Ca (0.1689, 0.1689, 0.0000)  6 Sb 3.18-3.25
Ca (0.8311, 0.8311, 0.0000)  6 Sb 3.18-3.25
Ce (0.5000, 0.5000, 0.0000)  6 Sb 3.12-3.18
Sb (0.0000, 0.5000, 0.5000)  2 Ce 3.18, 4 Ca 3.21
Sb (0.3420, 0.8420, 0.5000)  2 Ce 3.12, 4 Ca 3.18-3.25
Sb (0.6580, 0.1580, 0.5000)  2 Ce 3.12, 4 Ca 3.18-3.25

Symmetry   Immm, No. 71
Crystal system   orthorhombic


Computed, not measured: CaCeSb after structural relaxation at the PBE level of DFT.

Cell: 4.5052 4.5052 8.8641 Å, 90.33 90.33 89.72°
With the nearest neighbours (Å) after each atom.
Atoms (fractional coordinates):
Ca (0.2505, 0.2505, 0.1448)  5 Sb 3.24-3.29
Ca (0.7495, 0.7495, 0.8552)  5 Sb 3.24-3.29
Ce (0.2697, 0.7303, 0.5000)  3 Ce 2.93-3.20
Ce (0.7303, 0.2697, 0.5000)  3 Ce 2.93-3.20
Sb (0.2448, 0.2448, 0.7770)  5 Ca 3.24-3.29, 4 Ce 3.30-3.37
Sb (0.7552, 0.7552, 0.2230)  5 Ca 3.24-3.29, 4 Ce 3.30-3.37

Symmetry   C2/m, No. 12
Crystal system   monoclinic


Computed, not measured: CaCeSb after structural relaxation at the PBE level of DFT.

Cell: 5.0862 5.0862 4.2752 Å, 90.00 90.00 120.00°
With the nearest neighbours (Å) after each atom.
Atoms (fractional coordinates):
Ca (0.0000, 0.0000, 0.0000)  3 Sb 3.02
Ce (0.3333, 0.6667, 0.5380)  3 Sb 3.34, 6 Ca 3.54-3.73
Sb (0.6667, 0.3333, 0.1672)  3 Ca 3.02, 3 Ce 3.34

Symmetry   P3m1, No. 156
Crystal system   trigonal


Computed, not measured: CaCeSb2 after structural relaxation at the PBE level of DFT.

Cell: 7.7005 7.7005 7.7005 Å, 34.30 34.30 34.30°
With the nearest neighbours (Å) after each atom.
Atoms (fractional coordinates):
Ca (0.0000, 0.0000, 0.0000)  6 Sb 3.24
Ce (0.5000, 0.5000, 0.5000)  6 Sb 3.13
Sb (0.2457, 0.2457, 0.2457)  3 Ce 3.13, 3 Ca 3.24
Sb (0.7543, 0.7543, 0.7543)  3 Ce 3.13, 3 Ca 3.24

Symmetry   R-3m, No. 166
Energy relative to the lowest polymorph listed for this composition   0.0000 eV per atom
Crystal system   trigonal


Computed, not measured: CaCeSb2 after structural relaxation at the PBE level of DFT.

Cell: 5.7497 5.7497 3.4495 Å, 90.00 90.00 90.00°
With the nearest neighbours (Å) after each atom.
Atoms (fractional coordinates):
Ca (0.0000, 0.0000, 0.0000)  8 Sb 3.35, 2 Ca 3.45
Ce (0.5000, 0.5000, 0.0000)  8 Sb 3.35, 2 Ce 3.45
Sb (0.0000, 0.5000, 0.5000)  4 Ce 3.35, 4 Ca 3.35, 2 Sb 3.45
Sb (0.5000, 0.0000, 0.5000)  4 Ce 3.35, 4 Ca 3.35, 2 Sb 3.45

Symmetry   P4/mmm, No. 123
Energy relative to the lowest polymorph listed for this composition   0.1392 eV per atom
Crystal system   tetragonal


Computed, not measured: CaCeSb after structural relaxation at the PBE level of DFT.

Cell: 6.4281 6.4281 5.8103 Å, 114.08 114.08 61.54°
With the nearest neighbours (Å) after each atom.
Atoms (fractional coordinates):
Ca (0.0000, 0.5000, 0.0000)  2 Ca 3.29, 2 Sb 3.56, 2 Ce 3.63
Ca (0.5000, 0.0000, 0.0000)  2 Ca 3.29, 2 Sb 3.56, 2 Ce 3.63
Ce (0.0882, 0.0882, 0.3682)  1 Ce 3.00, 3 Sb 3.08-3.30
Ce (0.9118, 0.9118, 0.6318)  1 Ce 3.00, 3 Sb 3.08-3.30
Sb (0.4050, 0.4050, 0.6620)  3 Ce 3.08-3.30, 1 Sb 3.42
Sb (0.5950, 0.5950, 0.3380)  3 Ce 3.08-3.30, 1 Sb 3.42

Symmetry   C2/m, No. 12
Crystal system   monoclinic


Computed, not measured: CaCeSb after structural relaxation at the PBE level of DFT.

Cell: 6.2054 6.2054 6.2054 Å, 141.40 141.40 55.73°
With the nearest neighbours (Å) after each atom.
Atoms (fractional coordinates):
Ca (0.0000, 0.0000, 0.0000)  1 Ce 3.24, 4 Sb 3.32
Ce (0.2956, 0.2956, 0.0000)  1 Ca 3.24, 4 Sb 3.33
Sb (0.6474, 0.6474, 0.0000)  4 Ca 3.32, 4 Ce 3.33

Symmetry   I4mm, No. 107
Crystal system   tetragonal


| no. | ΔE_f (raw) (eV/atom) |
| --- | --- |
| 1 | -2.035 |
| 2 | -2.022 |
| 3 | -0.976 |
| 4 | -0.910 |
| 5 | -0.785 |
| 6 | -0.874 |
| 7 | -0.787 |
| 8 | -0.413 |
| 9 | -0.983 |
| 10 | -0.843 |
| 11 | -0.345 |
| 12 | -0.495 |